[1]
DFT (GGA-PBE) results for a geometry-optimized ReAuN2F structure.

Cell: 3.904 3.904 4.209 Å, 90.00 90.00 90.00°
Last column: magnetic moment on the atom in μB.
Fractional positions:
Re: 0.000 0.000 0.000  0.05
N: 0.000 0.500 0.000  -0.11
N: 0.500 0.000 0.000  -0.11
Au: 0.500 0.500 0.500  -0.02
F: 0.000 0.000 0.500  0.00

Results
theoretical density	11.14	g/cm3
crystal system	tetragonal
DFT total energy	-6.501	eV per atom
polymorph energy (0 for the lowest one)	0	meV/atom
formation energy (no corrections)	0.348	eV per atom
DOS at the Fermi energy	2.42	states/eV/cell

[2]
DFT (GGA-PBE) results for a geometry-optimized Sr2Hg3Pd2 structure.

Cell: 4.489 5.809 7.807 Å, 109.62 90.00 112.73°
Fractional positions:
Sr: 0.859 0.718 0.227
Sr: 0.141 0.282 0.773
Hg: 0.500 0.000 0.000
Hg: 0.632 0.264 0.444
Hg: 0.368 0.736 0.556
Pd: 0.861 0.722 0.800
Pd: 0.139 0.278 0.200

Results
theoretical density	9.40	g/cm3
crystal system	monoclinic
DFT total energy	-2.625	eV per atom
energy of formation	-531.3	meV/atom
DOS at the Fermi energy	3.36	states/eV/cell

[3]
DFT (GGA-PBE) results for a geometry-optimized La4Nd2DyMg structure.

Cell: 5.159 5.163 11.486 Å, 63.28 90.00 90.00°
Fractional positions:
La: 0.000 0.747 0.753
La: 0.000 0.253 0.247
La: 0.500 0.752 0.247
La: 0.500 0.248 0.753
Nd: 0.000 0.000 0.000
Nd: 0.500 0.000 0.500
Dy: 0.000 0.500 0.500
Mg: 0.500 0.500 0.000

Results
theoretical density	6.26	g/cm3
crystal system	tetragonal
DFT total energy	-4.431	eV per atom
energy of formation	-0.9	meV/atom
DOS at the Fermi energy	10.85	states/eV/cell

[4]
DFT (GGA-PBE) results for a geometry-optimized Na2Pa2FeN6 structure.

Cell: 5.729 5.729 6.016 Å, 97.33 97.33 119.25°
Last column: magnetic moment on the atom in μB.
Fractional positions:
Na: 0.852 0.148 0.000  0.00
Na: 0.148 0.852 0.000  0.00
Pa: 0.335 0.665 0.500  0.07
Pa: 0.665 0.335 0.500  0.07
Fe: 0.000 0.000 0.500  2.11
N: 0.753 0.753 0.678  0.00
N: 0.037 0.353 0.678  0.00
N: 0.247 0.247 0.322  0.00
N: 0.353 0.037 0.678  0.00
N: 0.963 0.647 0.322  0.00
N: 0.647 0.963 0.322  0.00

Results
theoretical density	6.45	g/cm3
crystal system	monoclinic
DFT total energy	-7.791	eV per atom
formation energy (no corrections)	-0.514	eV per atom
DOS at the Fermi energy	9.28	states/eV/cell